Below is an optimized crystal structure of Li7Mn2Co3O12, with properties calculated at the GGA+U level.

Properties
The value obtained for the energy above the most stable polymorph in this dataset is 53 meV per atom. The value obtained for the density is 4.09 g/cm3.

Cell: 2.881 5.182 14.344 Å, 88.14 90.00 90.00°
Site moments in Bohr magnetons follow the coordinates.
Positions (direct):
Co1 0.500 0.185 0.170  0.00
Li1 0.500 0.823 0.342  0.01
O1 0.000 0.675 0.910  -0.01
O2 0.500 0.132 0.921  -0.07
O3 0.000 0.616 0.399  0.11
Li2 0.500 0.510 0.009  0.00
Li3 0.500 0.497 0.492  0.01
O4 0.500 0.174 0.403  -0.04
O5 0.000 0.344 0.094  0.06
O6 0.500 0.461 0.254  -0.04
Li4 0.500 0.142 0.654  0.01
O7 0.000 0.335 0.588  0.36
O8 0.000 0.042 0.245  0.00
Co2 0.000 0.629 0.648  2.98
Mn1 0.000 0.015 0.006  3.86
Li5 0.000 0.013 0.508  0.01
O9 0.500 0.822 0.583  0.29
O10 0.000 0.990 0.764  -0.05
Mn2 0.500 0.826 0.832  3.24
Co3 0.000 0.327 0.335  0.95
Li6 0.000 0.676 0.176  0.00
Li7 0.000 0.343 0.826  0.01
O11 0.500 0.544 0.753  0.05
O12 0.500 0.880 0.087  -0.04